No. 1
First-principles (GGA-PBE) data for crystalline Rb2AcI3Br3 at its relaxed geometry, as listed in Alexandria via LeMat-Bulk.

Lattice parameters (Å, degrees): 4.760 9.356 9.356 120.00 90.00 90.00
Positions (direct):
Rb 0.500 0.333 0.667
Rb 0.500 0.667 0.333
Ac 0.000 0.000 0.000
I 0.000 0.000 0.373
I 0.000 0.627 0.627
I 0.000 0.373 0.000
Br 0.500 0.769 0.000
Br 0.500 0.231 0.231
Br 0.500 0.000 0.769

Values from the calculation:
Density of states at the Fermi level in states/eV/cell: 13.85
Formation energy (no corrections) in eV/f.u.: -13.4
Space-group type: P-62m (189)

No. 2
First-principles (GGA-PBE) data for crystalline LaZr2AlSn at its relaxed geometry, as listed in Alexandria via LeMat-Bulk.

Lattice parameters (Å, degrees): 5.157 5.540 5.157 90.00 90.00 90.00
Positions (direct):
Al 0.000 0.000 0.000
Sn 0.500 0.500 0.500
Zr 0.000 0.000 0.500
Zr 0.500 0.000 0.000
La 0.000 0.500 0.000

Values from the calculation:
DFT formation energy in eV/f.u.: 1.3
Density of states at the Fermi level in states/eV/cell: 4.71
Space-group type: P4/mmm (123)

No. 3
First-principles (GGA-PBE) data for crystalline Zn2HgCl8 at its relaxed geometry, as listed in Alexandria via LeMat-Bulk.

Lattice parameters (Å, degrees): 3.759 9.035 12.861 60.62 65.58 77.88
Positions (direct):
Zn 0.347 0.174 0.195
Zn 0.653 0.826 0.805
Hg 0.000 0.000 0.000
Cl 0.417 0.105 0.771
Cl 0.484 0.280 0.982
Cl 0.691 0.228 0.286
Cl 0.309 0.772 0.714
Cl 0.516 0.720 0.018
Cl 0.583 0.895 0.229
Cl 0.168 0.438 0.450
Cl 0.832 0.562 0.550

Values from the calculation:
Density of states at the Fermi level in states/eV/cell: 0.00
Formation energy (no corrections) in eV/f.u.: -8.1
Space-group type: P-1 (2)

No. 4
First-principles (GGA-PBE) data for crystalline RbZn2RuPt at its relaxed geometry, as listed in Alexandria via LeMat-Bulk.

Lattice parameters (Å, degrees): 5.541 5.364 5.541 90.00 90.00 90.00
Positions (direct):
Ru 0.500 0.500 0.500
Zn 0.000 0.000 0.500
Zn 0.500 0.000 0.000
Rb 0.000 0.000 0.000
Pt 0.000 0.500 0.000

Values from the calculation:
DFT formation energy in eV/f.u.: 10.9
Density of states at the Fermi level in states/eV/cell: 4.85
Space-group type: P4/mmm (123)

No. 5
First-principles (GGA-PBE) data for crystalline RbLaHf3 at its relaxed geometry, as listed in Alexandria via LeMat-Bulk.

Lattice parameters (Å, degrees): 5.453 5.453 5.453 90.00 90.00 90.00
Positions (direct):
Hf 0.000 0.500 0.000
Hf 0.000 0.000 0.500
Hf 0.500 0.000 0.000
Rb 0.500 0.500 0.500
La 0.000 0.000 0.000

Values from the calculation:
DFT formation energy in eV/f.u.: 7.9
Density of states at the Fermi level in states/eV/cell: 9.55
Space-group type: Pm-3m (221)

No. 6
First-principles (GGA-PBE) data for crystalline Rb2N2F7 at its relaxed geometry, as listed in Alexandria via LeMat-Bulk.

Lattice parameters (Å, degrees): 4.235 6.983 6.983 88.23 104.06 104.06
Positions (direct):
Rb 0.000 0.194 0.806
Rb 0.000 0.806 0.194
N 0.423 0.272 0.272
N 0.577 0.728 0.728
F 0.661 0.814 0.519
F 0.339 0.481 0.186
F 0.339 0.186 0.481
F 0.661 0.519 0.814
F 0.500 0.000 0.000
F 0.239 0.666 0.666
F 0.761 0.334 0.334

Values from the calculation:
Density of states at the Fermi level in states/eV/cell: 6.44
Formation energy (no corrections) in eV/f.u.: -10.7
Space-group type: C2/m (12)

No. 7
First-principles (GGA-PBE) data for crystalline Ac3Nd3TlCd2 at its relaxed geometry, as listed in Alexandria via LeMat-Bulk.

Lattice parameters (Å, degrees): 3.917 9.577 9.577 120.00 90.00 90.00
Positions (direct):
Ac 0.500 0.713 0.000
Ac 0.500 0.000 0.713
Ac 0.500 0.287 0.287
Nd 0.000 0.614 0.614
Nd 0.000 0.000 0.386
Nd 0.000 0.386 0.000
Tl 0.000 0.000 0.000
Cd 0.500 0.667 0.333
Cd 0.500 0.333 0.667

Values from the calculation:
DFT formation energy in eV/f.u.: -1.2
Density of states at the Fermi level in states/eV/cell: 11.92
Space-group type: P-62m (189)

No. 8
First-principles (GGA-PBE) data for crystalline Sr4CaTi3O12 at its relaxed geometry, as listed in Alexandria via LeMat-Bulk.

Lattice parameters (Å, degrees): 7.031 7.031 7.031 109.47 109.47 109.47
Positions (direct):
Sr 0.500 0.500 0.500
Sr 0.000 0.000 0.500
Sr 0.500 0.000 0.000
Sr 0.000 0.500 0.000
Ca 0.000 0.000 0.000
Ti 0.500 0.000 0.500
Ti 0.500 0.500 0.000
Ti 0.000 0.500 0.500
O 0.250 0.500 0.750
O 0.730 0.000 0.730
O 0.270 0.000 0.270
O 0.750 0.500 0.250
O 0.730 0.730 0.000
O 0.270 0.270 0.000
O 0.750 0.250 0.500
O 0.250 0.750 0.500
O 0.500 0.250 0.750
O 0.000 0.730 0.730
O 0.500 0.750 0.250
O 0.000 0.270 0.270

Values from the calculation:
Density of states at the Fermi level in states/eV/cell: 13.39
Formation energy (no corrections) in eV/f.u.: -56.3
Space-group type: Im-3m (229)

No. 9
First-principles (GGA-PBE) data for crystalline Pu2ThSi6 at its relaxed geometry, as listed in Alexandria via LeMat-Bulk.

Lattice parameters (Å, degrees): 4.028 7.050 7.050 120.00 90.00 90.00
Positions (direct):
Pu 0.000 0.333 0.667
Pu 0.000 0.667 0.333
Th 0.000 0.000 0.000
Si 0.500 0.335 0.335
Si 0.500 0.665 0.665
Si 0.500 0.000 0.665
Si 0.500 0.665 0.000
Si 0.500 0.335 0.000
Si 0.500 0.000 0.335

Values from the calculation:
Density of states at the Fermi level in states/eV/cell: 17.81
Formation energy (no corrections) in eV/f.u.: -4.6
Space-group type: P6/mmm (191)